The following is a DFT calculation (PBE-GGA) of a relaxed BaTaRe crystal.

Lattice parameters (Å, degrees): 3.3390 3.3390 7.7431 90.00 90.00 120.00
Positions (direct):
Re1 0.3333 0.6667 0.3833
Ba1 0.0000 0.0000 0.0186
Ta1 0.6667 0.3333 0.5981

Properties
- total magnetic moment (μB/cell) = 0.000
- E_form (eV/atom) = 0.89
- N(E_F) (states/eV per cell) = 2.65
- polymorph energy (0 for the lowest one) (meV/atom) = 289
- SG = P3m1 (156)